[1]
# U2Co3CuGe4

A geometry-optimized U2Co3CuGe4 structure (PBE, Alexandria via LeMat-Bulk).

Computed properties:
The value obtained for the total energy is -6.91 eV per atom. The value obtained for the polymorph energy (0 for the lowest one) is 0.032 eV/atom.

Structure (CIF):
```
data_U2Co3CuGe4
_symmetry_space_group_name_H-M 'P -4 m 2'
_symmetry_Int_Tables_number 115
_cell_length_a 4.065
_cell_length_b 4.065
_cell_length_c 9.766
_cell_angle_alpha 90.00
_cell_angle_beta 90.00
_cell_angle_gamma 90.00
loop_
_symmetry_equiv_pos_as_xyz
'x,y,z'
'y,-x,-z'
'-x,-y,z'
'-y,x,-z'
'-x,y,z'
'-y,-x,-z'
'x,-y,z'
'y,x,-z'
loop_
_atom_site_label
_atom_site_type_symbol
_atom_site_fract_x
_atom_site_fract_y
_atom_site_fract_z
_atom_site_occupancy
U1 U 0.000 0.500 0.244 1
Co1 Co 0.000 0.000 0.000 1
Co2 Co 0.500 0.500 0.000 1
Co3 Co 0.500 0.500 0.500 1
Cu1 Cu 0.000 0.000 0.500 1
Ge1 Ge 0.000 0.500 0.627 1
Ge2 Ge 0.000 0.500 0.880 1
```

---

[2]
# Sm3ErRh

A geometry-optimized Sm3ErRh structure (PBE, Alexandria via LeMat-Bulk).

Computed properties:
The value obtained for the total energy is -5.50 eV per atom. The value obtained for the polymorph energy (0 for the lowest one) is 0.000 eV/atom.

Structure (CIF):
```
data_Sm3ErRh
_symmetry_space_group_name_H-M 'I m a 2'
_symmetry_Int_Tables_number 46
_cell_length_a 9.594
_cell_length_b 7.358
_cell_length_c 8.694
_cell_angle_alpha 90.00
_cell_angle_beta 90.00
_cell_angle_gamma 90.00
loop_
_symmetry_equiv_pos_as_xyz
'x,y,z'
'-x,-y,z'
'-x+1/2,y,z'
'x+1/2,-y,z'
'x+1/2,y+1/2,z+1/2'
'-x+1/2,-y+1/2,z+1/2'
'-x,y+1/2,z+1/2'
'x,-y+1/2,z+1/2'
loop_
_atom_site_label
_atom_site_type_symbol
_atom_site_fract_x
_atom_site_fract_y
_atom_site_fract_z
_atom_site_occupancy
Sm1 Sm 0.038 0.249 0.000 1
Sm2 Sm 0.250 0.511 0.249 1
Er1 Er 0.250 0.521 0.751 1
Rh1 Rh 0.250 0.748 0.500 1
```

---

[3]
# Cd2C

A geometry-optimized Cd2C structure (PBE, Alexandria via LeMat-Bulk).

Computed properties:
The value obtained for the total energy is -2.94 eV per atom. The value obtained for the polymorph energy (0 for the lowest one) is 0.000 eV/atom.

Structure (CIF):
```
data_Cd2C
_symmetry_space_group_name_H-M 'I 41/a m d'
_symmetry_Int_Tables_number 141
_cell_length_a 6.229
_cell_length_b 6.229
_cell_length_c 13.785
_cell_angle_alpha 90.00
_cell_angle_beta 90.00
_cell_angle_gamma 90.00
loop_
_symmetry_equiv_pos_as_xyz
'x,y,z'
'-x,-y,-z'
'-y+1/4,x+3/4,z+1/4'
'y+1/4,-x+3/4,-z+1/4'
'-x+1/2,-y,z+1/2'
'x+1/2,y,-z+1/2'
'y+1/4,-x+1/4,z+3/4'
'-y+1/4,x+1/4,-z+3/4'
'x,-y,-z'
'-x,y,z'
'-y+1/4,-x+1/4,-z+3/4'
'y+1/4,x+1/4,z+3/4'
'-x+1/2,y,-z+1/2'
'x+1/2,-y,z+1/2'
'y+1/4,x+3/4,-z+1/4'
'-y+1/4,-x+3/4,z+1/4'
'x+1/2,y+1/2,z+1/2'
'-x+1/2,-y+1/2,-z+1/2'
'-y+3/4,x+1/4,z+3/4'
'y+3/4,-x+1/4,-z+3/4'
'-x,-y+1/2,z'
'x,y+1/2,-z'
'y+3/4,-x+3/4,z+1/4'
'-y+3/4,x+3/4,-z+1/4'
'x+1/2,-y+1/2,-z+1/2'
'-x+1/2,y+1/2,z+1/2'
'-y+3/4,-x+3/4,-z+1/4'
'y+3/4,x+3/4,z+1/4'
'-x,y+1/2,-z'
'x,-y+1/2,z'
'y+3/4,x+1/4,-z+3/4'
'-y+3/4,-x+1/4,z+3/4'
loop_
_atom_site_label
_atom_site_type_symbol
_atom_site_fract_x
_atom_site_fract_y
_atom_site_fract_z
_atom_site_occupancy
Cd1 Cd 0.000 0.250 0.080 1
Cd2 Cd 0.000 0.250 0.276 1
C1 C 0.000 0.250 0.830 1
```

---

[4]
# Sr2Li2Tc

A geometry-optimized Sr2Li2Tc structure (PBE, Alexandria via LeMat-Bulk).

Computed properties:
The value obtained for the total energy is -2.67 eV per atom. The value obtained for the polymorph energy (0 for the lowest one) is 0.295 eV/atom.

Structure (CIF):
```
data_Sr2Li2Tc
_symmetry_space_group_name_H-M 'P 4/m b m'
_symmetry_Int_Tables_number 127
_symmetry_space_group_name_Hall '-P 4 2ab'
_cell_length_a 8.411
_cell_length_b 8.411
_cell_length_c 4.101
_cell_angle_alpha 90.00
_cell_angle_beta 90.00
_cell_angle_gamma 90.00
loop_
_atom_site_label
_atom_site_type_symbol
_atom_site_fract_x
_atom_site_fract_y
_atom_site_fract_z
_atom_site_occupancy
Sr1 Sr 0.173 0.327 0.000 1
Li1 Li 0.134 0.634 0.500 1
Tc1 Tc 0.000 0.000 0.000 1
```

---

[5]
# La2ScAg3

A geometry-optimized La2ScAg3 structure (PBE, Alexandria via LeMat-Bulk).

Computed properties:
The value obtained for the total energy is -4.37 eV per atom.

Structure (CIF):
```
data_La2ScAg3
_symmetry_space_group_name_H-M 'P 4/m m m'
_symmetry_Int_Tables_number 123
_symmetry_space_group_name_Hall '-P 4 2'
_cell_length_a 3.616
_cell_length_b 3.616
_cell_length_c 11.510
_cell_angle_alpha 90.00
_cell_angle_beta 90.00
_cell_angle_gamma 90.00
loop_
_atom_site_label
_atom_site_type_symbol
_atom_site_fract_x
_atom_site_fract_y
_atom_site_fract_z
_atom_site_occupancy
La1 La 0.000 0.000 0.179 1
Sc1 Sc 0.000 0.000 0.500 1
Ag1 Ag 0.500 0.500 0.000 1
Ag2 Ag 0.500 0.500 0.367 1
```

---

[6]
# Ac3Cd5Pd6

A geometry-optimized Ac3Cd5Pd6 structure (PBE, Alexandria via LeMat-Bulk).

Computed properties:
The value obtained for the total energy is -4.02 eV per atom.

Structure (CIF):
```
data_Ac3Cd5Pd6
_symmetry_space_group_name_H-M 'I m m m'
_symmetry_Int_Tables_number 71
_symmetry_space_group_name_Hall '-I 2 2'
_cell_length_a 4.741
_cell_length_b 9.748
_cell_length_c 13.989
_cell_angle_alpha 90.00
_cell_angle_beta 90.00
_cell_angle_gamma 90.00
loop_
_atom_site_label
_atom_site_type_symbol
_atom_site_fract_x
_atom_site_fract_y
_atom_site_fract_z
_atom_site_occupancy
Ac1 Ac 0.000 0.000 0.000 1
Ac2 Ac 0.000 0.000 0.325 1
Cd1 Cd 0.000 0.348 0.317 1
Cd2 Cd 0.000 0.500 0.000 1
Pd1 Pd 0.000 0.210 0.500 1
Pd2 Pd 0.000 0.271 0.114 1
```

---

[7]
# Li2TbGa2Pd2

A geometry-optimized Li2TbGa2Pd2 structure (PBE, Alexandria via LeMat-Bulk).

Computed properties:
The value obtained for the total energy is -4.10 eV per atom.

Structure (CIF):
```
data_Li2TbGa2Pd2
_symmetry_space_group_name_H-M 'C 1 2/m 1'
_symmetry_Int_Tables_number 12
_cell_length_a 7.716
_cell_length_b 4.431
_cell_length_c 7.603
_cell_angle_alpha 90.00
_cell_angle_beta 109.00
_cell_angle_gamma 90.00
loop_
_symmetry_equiv_pos_as_xyz
'x,y,z'
'-x,-y,-z'
'-x,y,-z'
'x,-y,z'
'x+1/2,y+1/2,z'
'-x+1/2,-y+1/2,-z'
'-x+1/2,y+1/2,-z'
'x+1/2,-y+1/2,z'
loop_
_atom_site_label
_atom_site_type_symbol
_atom_site_fract_x
_atom_site_fract_y
_atom_site_fract_z
_atom_site_occupancy
Li1 Li 0.075 0.000 0.220 1
Tb1 Tb 0.000 0.500 0.500 1
Ga1 Ga 0.137 0.500 0.914 1
Pd1 Pd 0.241 0.000 0.732 1
```

---

[8]
# Rb8As2Cl

A geometry-optimized Rb8As2Cl structure (PBE, Alexandria via LeMat-Bulk).

Computed properties:
The value obtained for the total energy is -2.22 eV per atom. The calculation puts the formation energy without anion corrections at -5.57 eV/f.u.

Structure (CIF):
```
data_Rb8As2Cl
_symmetry_space_group_name_H-M 'C 1 2/m 1'
_symmetry_Int_Tables_number 12
_cell_length_a 21.835
_cell_length_b 5.480
_cell_length_c 9.580
_cell_angle_alpha 90.00
_cell_angle_beta 95.14
_cell_angle_gamma 90.00
loop_
_symmetry_equiv_pos_as_xyz
'x,y,z'
'-x,-y,-z'
'-x,y,-z'
'x,-y,z'
'x+1/2,y+1/2,z'
'-x+1/2,-y+1/2,-z'
'-x+1/2,y+1/2,-z'
'x+1/2,-y+1/2,z'
loop_
_atom_site_label
_atom_site_type_symbol
_atom_site_fract_x
_atom_site_fract_y
_atom_site_fract_z
_atom_site_occupancy
Rb1 Rb 0.036 0.000 0.314 1
Rb2 Rb 0.114 0.500 0.054 1
Rb3 Rb 0.178 0.500 0.483 1
Rb4 Rb 0.214 0.000 0.846 1
As1 As 0.189 0.000 0.231 1
Cl1 Cl 0.000 0.500 0.500 1
```